Record 1
VASP calculation (PBE) on a relaxed KLa4P crystal.

Output
The calculation puts the density of states at the Fermi level at 1.701 states/eV per atom. The space group is No. 216. The theoretical density comes out at 5.01 g cm⁻³. The final energy is -23.48 eV for the cell shown. The calculation puts the formation energy at 43.95 kJ per mole of atoms. As for the total moment: 0.006 μB per formula unit.

Unit cell a=6.642 b=6.642 c=6.642 alpha=60.00 beta=60.00 gamma=60.00
Positions (direct):
K: 0.000 0.000 0.000
La: 0.138 0.621 0.621
La: 0.621 0.138 0.621
La: 0.621 0.621 0.138
La: 0.621 0.621 0.621
P: 0.250 0.250 0.250

Record 2
VASP calculation (PBE) on a relaxed NaSrBeO2 crystal.

Output
The calculation puts the density of states at the Fermi level at 0.374 states/eV per atom. The space group is No. 123. The calculation puts the energy relative to the elements, uncorrected at -255 meV per atom. The theoretical density comes out at 3.77 g cm⁻³. The final energy is -17.92 eV for the cell shown. As for the total moment: 0.000 μB per formula unit.

Unit cell a=3.871 b=3.871 c=4.454 alpha=90.00 beta=90.00 gamma=90.00
Positions (direct):
Na: 0.000 0.000 0.000
Sr: 0.500 0.500 0.000
Be: 0.500 0.500 0.500
O: 0.000 0.500 0.500
O: 0.500 0.000 0.500

Record 3
VASP calculation (PBE) on a relaxed Zr2FeCo crystal.

Output
The calculation puts the density of states at the Fermi level at 0.969 states/eV per atom. The space group is No. 99. The theoretical density comes out at 7.25 g cm⁻³. The final energy is -32.75 eV for the cell shown. The calculation puts the formation energy at -2.07 kJ per mole of atoms. As for the total moment: 4.049 μB per formula unit. The energy relative to the lowest polymorph listed for this composition comes out at 218 meV/atom.

Unit cell a=3.106 b=3.106 c=7.055 alpha=90.00 beta=90.00 gamma=90.00
Positions (direct):
Zr: 0.000 0.000 0.000
Zr: 0.500 0.500 0.324
Fe: 0.500 0.500 0.741
Co: 0.000 0.000 0.570

Record 4
VASP calculation (PBE) on a relaxed BaCaCo2 crystal.

Output
The calculation puts the density of states at the Fermi level at 1.194 states/eV per atom. The space group is No. 99. The theoretical density comes out at 4.84 g cm⁻³. The final energy is -16.58 eV for the cell shown. The calculation puts the formation energy at 37.63 kJ per mole of atoms. As for the total moment: 2.906 μB per formula unit. The energy relative to the lowest polymorph listed for this composition comes out at 255 meV/atom.

Unit cell a=3.402 b=3.402 c=8.754 alpha=90.00 beta=90.00 gamma=90.00
Positions (direct):
Ba: 0.000 0.000 0.000
Ca: 0.500 0.500 0.417
Co: 0.000 0.000 0.664
Co: 0.500 0.500 0.719

Record 5
VASP calculation (PBE) on a relaxed RbCaYCl6 crystal.

Output
The calculation puts the density of states at the Fermi level at 0.000 states/eV per atom. The space group is No. 163. The calculation puts the energy relative to the elements, uncorrected at -2294 meV per atom. The theoretical density comes out at 2.25 g cm⁻³. The final energy is -82.32 eV for the cell shown. As for the total moment: 0.000 μB per formula unit.

Unit cell a=7.138 b=7.138 c=14.273 alpha=90.00 beta=90.00 gamma=120.00
Positions (direct):
Rb: 0.000 0.000 0.000
Rb: 0.000 0.000 0.500
Ca: 0.333 0.667 0.250
Ca: 0.667 0.333 0.750
Y: 0.333 0.667 0.750
Y: 0.667 0.333 0.250
Cl: 0.010 0.379 0.644
Cl: 0.010 0.631 0.856
Cl: 0.369 0.379 0.856
Cl: 0.369 0.990 0.644
Cl: 0.379 0.010 0.144
Cl: 0.379 0.369 0.356
Cl: 0.621 0.631 0.644
Cl: 0.621 0.990 0.856
Cl: 0.631 0.010 0.356
Cl: 0.631 0.621 0.144
Cl: 0.990 0.369 0.144
Cl: 0.990 0.621 0.356

Record 6
VASP calculation (PBE) on a relaxed La4GeSBr2 crystal.

Output
The calculation puts the density of states at the Fermi level at 0.493 states/eV per atom. The space group is No. 10. The calculation puts the energy relative to the elements, uncorrected at -1507 meV per atom. The theoretical density comes out at 5.81 g cm⁻³. The final energy is -43.86 eV for the cell shown. As for the total moment: 0.000 μB per formula unit.

Unit cell a=7.379 b=4.320 c=7.781 alpha=90.00 beta=109.05 gamma=90.00
Positions (direct):
La: 0.227 0.000 0.209
La: 0.250 0.500 0.785
La: 0.750 0.500 0.215
La: 0.773 0.000 0.791
Ge: 0.500 0.000 0.000
S: 0.000 0.500 0.000
Br: 0.000 0.000 0.500
Br: 0.500 0.500 0.500

Record 7
VASP calculation (PBE) on a relaxed LiCeHg crystal.

Output
The calculation puts the density of states at the Fermi level at 1.396 states/eV per atom. The space group is No. 139. The theoretical density comes out at 8.75 g cm⁻³. The final energy is -17.46 eV for the cell shown. The calculation puts the formation energy at -18.61 kJ per mole of atoms. As for the total moment: 0.499 μB per formula unit. The energy relative to the lowest polymorph listed for this composition comes out at 25 meV/atom.

Unit cell a=12.138 b=12.138 c=12.138 alpha=164.24 beta=164.24 gamma=22.36
Positions (direct):
Li: 0.216 0.216 0.000
Li: 0.784 0.784 0.000
Ce: 0.056 0.056 0.000
Ce: 0.944 0.944 0.000
Hg: 0.346 0.346 0.000
Hg: 0.654 0.654 0.000

Record 8
VASP calculation (PBE) on a relaxed ThPa2In crystal.

Output
The calculation puts the density of states at the Fermi level at 2.187 states/eV per atom. The space group is No. 123. The theoretical density comes out at 12.59 g cm⁻³. The final energy is -29.06 eV for the cell shown. The calculation puts the formation energy at 2.23 kJ per mole of atoms. As for the total moment: 0.000 μB per formula unit. The energy relative to the lowest polymorph listed for this composition comes out at 0 meV/atom.

Unit cell a=4.627 b=4.627 c=4.983 alpha=90.00 beta=90.00 gamma=90.00
Positions (direct):
Th: 0.000 0.000 0.000
Pa: 0.000 0.500 0.500
Pa: 0.500 0.000 0.500
In: 0.500 0.500 0.000

Record 9
VASP calculation (PBE) on a relaxed KLiRe2 crystal.

Output
The calculation puts the density of states at the Fermi level at 1.029 states/eV per atom. The space group is No. 123. The theoretical density comes out at 8.80 g cm⁻³. The final energy is -22.95 eV for the cell shown. The calculation puts the formation energy at 119.50 kJ per mole of atoms. As for the total moment: 0.000 μB per formula unit. The energy relative to the lowest polymorph listed for this composition comes out at 621 meV/atom.

Unit cell a=3.159 b=3.159 c=7.910 alpha=90.00 beta=90.00 gamma=90.00
Positions (direct):
K: 0.000 0.000 0.000
Li: 0.000 0.000 0.500
Re: 0.500 0.500 0.357
Re: 0.500 0.500 0.643

Record 10
VASP calculation (PBE) on a relaxed Pm4Cd2InAg crystal.

Output
The calculation puts the density of states at the Fermi level at 1.183 states/eV per atom. The space group is No. 166. The theoretical density comes out at 7.71 g cm⁻³. The final energy is -29.17 eV for the cell shown. The calculation puts the formation energy at -33.18 kJ per mole of atoms. As for the total moment: 0.960 μB per formula unit.

Unit cell a=9.352 b=9.352 c=9.352 alpha=33.46 beta=33.46 gamma=33.46
Positions (direct):
Pm: 0.122 0.122 0.122
Pm: 0.373 0.373 0.373
Pm: 0.627 0.627 0.627
Pm: 0.878 0.878 0.878
Cd: 0.248 0.248 0.248
Cd: 0.752 0.752 0.752
In: 0.500 0.500 0.500
Ag: 0.000 0.000 0.000

Record 11
VASP calculation (PBE) on a relaxed PuGa2Ge crystal.

Output
The calculation puts the density of states at the Fermi level at 2.241 states/eV per atom. The space group is No. 123. The theoretical density comes out at 9.74 g cm⁻³. The final energy is -26.62 eV for the cell shown. The calculation puts the formation energy at -39.06 kJ per mole of atoms. As for the total moment: 5.245 μB per formula unit. The energy relative to the lowest polymorph listed for this composition comes out at 0 meV/atom.

Unit cell a=4.204 b=4.204 c=4.398 alpha=90.00 beta=90.00 gamma=90.00
Positions (direct):
Pu: 0.000 0.000 0.000
Ga: 0.000 0.500 0.500
Ga: 0.500 0.000 0.500
Ge: 0.500 0.500 0.000

Record 12
VASP calculation (PBE) on a relaxed PmDy6Ho3Er2 crystal.

Output
The calculation puts the density of states at the Fermi level at 1.279 states/eV per atom. The space group is No. 12. The theoretical density comes out at 8.61 g cm⁻³. The final energy is -55.01 eV for the cell shown. The calculation puts the formation energy at 1.67 kJ per mole of atoms. As for the total moment: 0.000 μB per formula unit.

Unit cell a=6.126 b=6.126 c=11.732 alpha=94.97 beta=94.97 gamma=119.95
Positions (direct):
Pm: 0.000 0.000 0.000
Dy: 0.084 0.418 0.251
Dy: 0.250 0.250 0.749
Dy: 0.418 0.084 0.251
Dy: 0.582 0.916 0.749
Dy: 0.750 0.750 0.251
Dy: 0.916 0.582 0.749
Ho: 0.167 0.833 0.500
Ho: 0.500 0.500 0.500
Ho: 0.833 0.167 0.500
Er: 0.333 0.667 0.000
Er: 0.667 0.333 0.000

Record 13
VASP calculation (PBE) on a relaxed HfTiInB2 crystal.

Output
The calculation puts the density of states at the Fermi level at 0.796 states/eV per atom. The space group is No. 123. The theoretical density comes out at 5.99 g cm⁻³. The final energy is -26.98 eV for the cell shown. The calculation puts the formation energy at 134.38 kJ per mole of atoms. As for the total moment: 0.000 μB per formula unit. The energy relative to the lowest polymorph listed for this composition comes out at 0 meV/atom.

Unit cell a=4.353 b=4.353 c=5.306 alpha=90.00 beta=90.00 gamma=90.00
Positions (direct):
Hf: 0.000 0.000 0.000
Ti: 0.500 0.500 0.500
In: 0.000 0.000 0.500
B: 0.000 0.500 0.000
B: 0.500 0.000 0.000

Record 14
VASP calculation (PBE) on a relaxed TcMoRh2 crystal.

Output
The calculation puts the density of states at the Fermi level at 0.667 states/eV per atom. The space group is No. 99. The theoretical density comes out at 11.26 g cm⁻³. The final energy is -36.21 eV for the cell shown. The calculation puts the formation energy at -7.41 kJ per mole of atoms. As for the total moment: 0.000 μB per formula unit. The energy relative to the lowest polymorph listed for this composition comes out at 132 meV/atom.

Unit cell a=2.730 b=2.730 c=7.909 alpha=90.00 beta=90.00 gamma=90.00
Positions (direct):
Tc: 0.000 0.000 0.000
Mo: 0.500 0.500 0.272
Rh: 0.000 0.000 0.508
Rh: 0.500 0.500 0.770

Record 15
VASP calculation (PBE) on a relaxed CaMoRu2 crystal.

Output
The calculation puts the density of states at the Fermi level at 0.207 states/eV per atom. The space group is No. 225. The theoretical density comes out at 8.55 g cm⁻³. The final energy is -30.29 eV for the cell shown. The calculation puts the formation energy at 26.29 kJ per mole of atoms. As for the total moment: 0.000 μB per formula unit. The energy relative to the lowest polymorph listed for this composition comes out at 125 meV/atom.

Unit cell a=4.529 b=4.529 c=4.529 alpha=60.00 beta=60.00 gamma=60.00
Positions (direct):
Ca: 0.000 0.000 0.000
Mo: 0.500 0.500 0.500
Ru: 0.250 0.250 0.250
Ru: 0.750 0.750 0.750

Record 16
VASP calculation (PBE) on a relaxed Ac2ThSn crystal.

Output
The calculation puts the density of states at the Fermi level at 1.198 states/eV per atom. The space group is No. 123. The theoretical density comes out at 9.24 g cm⁻³. The final energy is -20.33 eV for the cell shown. The calculation puts the formation energy at -16.77 kJ per mole of atoms. As for the total moment: 0.000 μB per formula unit. The energy relative to the lowest polymorph listed for this composition comes out at 75 meV/atom.

Unit cell a=3.811 b=3.811 c=9.961 alpha=90.00 beta=90.00 gamma=90.00
Positions (direct):
Ac: 0.000 0.000 0.233
Ac: 0.000 0.000 0.767
Th: 0.500 0.500 0.500
Sn: 0.500 0.500 0.000

Record 17
VASP calculation (PBE) on a relaxed PmReS crystal.

Output
The calculation puts the density of states at the Fermi level at 0.232 states/eV per atom. The space group is No. 12. The calculation puts the energy relative to the elements, uncorrected at -627 meV per atom. The theoretical density comes out at 7.41 g cm⁻³. The final energy is -46.41 eV for the cell shown. As for the total moment: 0.000 μB per formula unit.

Unit cell a=4.151 b=4.151 c=11.162 alpha=100.58 beta=100.58 gamma=60.00
Positions (direct):
Pm: 0.077 0.077 0.234
Pm: 0.923 0.923 0.766
Re: 0.337 0.337 0.012
Re: 0.663 0.663 0.988
S: 0.218 0.218 0.650
S: 0.782 0.782 0.350

Record 18
VASP calculation (PBE) on a relaxed SmTmCSe crystal.

Output
The calculation puts the density of states at the Fermi level at 0.013 states/eV per atom. The space group is No. 160. The calculation puts the energy relative to the elements, uncorrected at -1081 meV per atom. The theoretical density comes out at 8.27 g cm⁻³. The final energy is -26.22 eV for the cell shown. As for the total moment: 0.000 μB per formula unit.

Unit cell a=7.103 b=7.103 c=7.103 alpha=30.62 beta=30.62 gamma=30.62
Positions (direct):
Sm: 0.000 0.000 0.000
Tm: 0.200 0.200 0.200
C: 0.598 0.598 0.598
Se: 0.772 0.772 0.772

Record 19
VASP calculation (PBE) on a relaxed CdSn2Ir crystal.

Output
The calculation puts the density of states at the Fermi level at 0.586 states/eV per atom. The space group is No. 122. The theoretical density comes out at 8.64 g cm⁻³. The final energy is -35.25 eV for the cell shown. The calculation puts the formation energy at 3.81 kJ per mole of atoms. As for the total moment: 0.000 μB per formula unit.

Unit cell a=6.791 b=6.791 c=6.791 alpha=98.92 beta=98.92 gamma=133.62
Positions (direct):
Cd: 0.000 0.000 0.000
Cd: 0.750 0.250 0.500
Sn: 0.230 0.125 0.605
Sn: 0.375 0.770 0.895
Sn: 0.520 0.625 0.395
Sn: 0.875 0.480 0.105
Ir: 0.250 0.750 0.500
Ir: 0.500 0.500 0.000

Record 20
VASP calculation (PBE) on a relaxed PuHfV crystal.

Output
The calculation puts the density of states at the Fermi level at 2.252 states/eV per atom. The space group is No. 107. The theoretical density comes out at 12.18 g cm⁻³. The final energy is -31.33 eV for the cell shown. The calculation puts the formation energy at 66.71 kJ per mole of atoms. As for the total moment: 5.728 μB per formula unit. The energy relative to the lowest polymorph listed for this composition comes out at 350 meV/atom.

Unit cell a=7.960 b=7.960 c=7.960 alpha=159.03 beta=159.03 gamma=29.82
Positions (direct):
Pu: 0.000 0.000 0.000
Hf: 0.205 0.205 0.000
V: 0.833 0.833 0.000